(1)
First-principles (PBE) data for an optimized crystal structure of MgScSn3, as listed in Alexandria via LeMat-Bulk.

Unit cell a=5.5133 b=5.5133 c=5.5133 alpha=90.00 beta=90.00 gamma=90.00
With the nearest neighbours (Å) after each atom.
Space group Pm-3m (No. 221)
Symmetry-distinct sites (fractional):
1 Mg 0.0000 0.0000 0.0000  12 Sn 3.90
2 Sc 0.5000 0.5000 0.5000  6 Sn 2.76
3 Sn 0.0000 0.5000 0.5000  2 Sc 2.76

relative energy among the computed polymorphs: 618 meV/atom

---

(2)
First-principles (PBE) data for an optimized crystal structure of Mg2ScSn2, as listed in Alexandria via LeMat-Bulk.

Unit cell a=4.3365 b=24.3453 c=4.3531 alpha=90.00 beta=90.00 gamma=90.00
With the nearest neighbours (Å) after each atom.
Space group Cmcm (No. 63)
Symmetry-distinct sites (fractional):
1 Mg 0.0000 0.0474 0.2500  2 Sn 3.00, 8 Mg 3.07-3.18
2 Mg 0.0000 0.4517 0.2500  2 Sn 2.99, 8 Mg 3.07-3.20
3 Sc 0.0000 0.1536 0.7500  8 Sn 3.11-3.21, 4 Mg 3.36-3.38
4 Sn 0.0000 0.2494 0.2500  4 Sn 3.07, 4 Sc 3.19-3.21
5 Sn 0.0000 0.3675 0.7500  4 Mg 2.99-3.00, 4 Sc 3.11

relative energy among the computed polymorphs: 0 meV/atom

---

(3)
First-principles (PBE) data for an optimized crystal structure of MgScSn4, as listed in Alexandria via LeMat-Bulk.

Unit cell a=4.0009 b=4.0009 c=9.2717 alpha=90.00 beta=90.00 gamma=90.00
With the nearest neighbours (Å) after each atom.
Space group P4/mmm (No. 123)
Symmetry-distinct sites (fractional):
1 Mg 0.0000 0.0000 0.0000  10 Sn 3.12-3.23
2 Sc 0.5000 0.5000 0.5000  10 Sn 3.07-3.21
3 Sn 0.0000 0.0000 0.3367  5 Sn 3.03-3.23, 1 Mg 3.12, 4 Sc 3.21
4 Sn 0.5000 0.5000 0.1687  1 Sc 3.07, 5 Sn 3.13-3.23, 4 Mg 3.23

relative energy among the computed polymorphs: 26 meV/atom

---

(4)
First-principles (PBE) data for an optimized crystal structure of MgScSn, as listed in Alexandria via LeMat-Bulk.

Unit cell a=4.2350 b=4.2350 c=7.7418 alpha=90.00 beta=90.00 gamma=90.00
With the nearest neighbours (Å) after each atom.
Space group P4/nmm (No. 129, origin choice 2)
Symmetry-distinct sites (fractional):
1 Mg 0.2500 0.7500 0.0000  4 Sn 2.98, 4 Mg 2.99
2 Sc 0.2500 0.2500 0.3514  5 Sn 2.93-3.06
3 Sn 0.2500 0.2500 0.7295  5 Sc 2.93-3.06, 4 Mg 2.98

total energy: -13.13 eV per formula unit

---

(5)
First-principles (PBE) data for an optimized crystal structure of MgSc3Sn3, as listed in Alexandria via LeMat-Bulk.

Unit cell a=8.8728 b=8.8728 c=5.7965 alpha=90.00 beta=90.00 gamma=120.00
With the nearest neighbours (Å) after each atom.
Space group P6_3/m (No. 176)
Symmetry-distinct sites (fractional):
1 Mg 0.3333 0.6667 0.2500  3 Sn 2.84, 3 Sc 3.17
2 Sc 0.0300 0.6840 0.7500  5 Sn 2.88-3.02, 1 Mg 3.17
3 Sn 0.0201 0.6791 0.2500  1 Mg 2.84, 5 Sc 2.88-3.02

total energy: -34.52 eV per formula unit

---

(6)
First-principles (PBE) data for an optimized crystal structure of MgSc5Sn3, as listed in Alexandria via LeMat-Bulk.

Unit cell a=8.7089 b=8.7089 c=6.1825 alpha=90.00 beta=90.00 gamma=120.00
With the nearest neighbours (Å) after each atom.
Space group P6_3/mcm (No. 193)
Symmetry-distinct sites (fractional):
1 Mg 0.0000 0.0000 0.0000  6 Sc 2.98, 2 Mg 3.09
2 Sc 0.0000 0.2926 0.2500  5 Sn 2.94-3.16, 2 Mg 2.98
3 Sc 0.3333 0.6667 0.0000  8 Sc 3.09-3.46, 6 Sn 3.16
4 Sn 0.0000 0.3692 0.7500  9 Sc 2.94-3.16

total energy: -50.31 eV per formula unit

---

(7)
First-principles (PBE) data for an optimized crystal structure of Mg9Sc4Sn11, as listed in Alexandria via LeMat-Bulk.

Unit cell a=14.7913 b=23.2963 c=3.3496 alpha=90.00 beta=90.00 gamma=90.00
With the nearest neighbours (Å) after each atom.
Space group Cmmm (No. 65)
Symmetry-distinct sites (fractional):
1 Mg 0.0000 0.0000 0.0000  2 Mg 3.35, 4 Sc 3.37, 8 Sn 3.43-3.55
2 Mg 0.1080 0.2343 0.0000  8 Sn 3.08-3.33, 1 Sc 3.18, 3 Mg 3.20-3.35
3 Mg 0.1251 0.4253 0.0000  6 Sn 3.04-3.35, 1 Sc 3.22, 2 Mg 3.35
4 Sc 0.1618 0.1022 0.0000  6 Sn 2.97-3.04, 2 Mg 3.18-3.22
5 Sn 0.0000 0.1342 0.5000  4 Sc 3.01, 4 Mg 3.29, 2 Sn 3.35
6 Sn 0.0000 0.3291 0.5000  8 Mg 3.20-3.35, 4 Sn 3.22-3.35
7 Sn 0.0000 0.5000 0.5000  8 Mg 3.04, 2 Sn 3.35
8 Sn 0.2025 0.0000 0.5000  4 Sc 2.97
9 Sn 0.2175 0.3206 0.5000  2 Sc 3.04, 6 Mg 3.08-3.33, 3 Sn 3.22-3.35

total energy: -89.35 eV per formula unit

---

(8)
First-principles (PBE) data for an optimized crystal structure of MgSc2Sn4, as listed in Alexandria via LeMat-Bulk.

Unit cell a=5.3252 b=5.3252 c=14.3625 alpha=90.00 beta=90.00 gamma=90.00
With the nearest neighbours (Å) after each atom.
Space group I4/mmm (No. 139)
Symmetry-distinct sites (fractional):
1 Mg 0.0000 0.0000 0.0000  6 Sn 2.66-2.73
2 Sc 0.0000 0.0000 0.3938  5 Sn 2.92-3.07, 1 Sc 3.05
3 Sn 0.0000 0.0000 0.1902  1 Mg 2.73, 1 Sc 2.92
4 Sn 0.0000 0.5000 0.0000  2 Mg 2.66

total energy: -29.46 eV per formula unit

---

(9)
First-principles (PBE) data for an optimized crystal structure of MgScSn4, as listed in Alexandria via LeMat-Bulk.

Unit cell a=6.7913 b=6.7913 c=13.1995 alpha=90.00 beta=90.00 gamma=90.00
With the nearest neighbours (Å) after each atom.
Space group I4/mcm (No. 140)
Symmetry-distinct sites (fractional):
1 Mg 0.0000 0.0000 0.0000  8 Sn 3.00, 2 Sc 3.30
2 Sc 0.0000 0.0000 0.2500  8 Sn 3.09, 2 Mg 3.30
3 Sn 0.1575 0.3425 0.1190  2 Mg 3.00, 2 Sn 3.02-3.14, 2 Sc 3.09

relative energy among the computed polymorphs: 0 meV/atom

---

(10)
First-principles (PBE) data for an optimized crystal structure of Mg2Sc5Sn5, as listed in Alexandria via LeMat-Bulk.

Unit cell a=15.7850 b=3.4016 c=12.2376 alpha=90.00 beta=120.44 gamma=90.00
With the nearest neighbours (Å) after each atom.
Space group C2/m (No. 12)
Symmetry-distinct sites (fractional):
1 Mg 0.0361 0.0000 0.2616  3 Sn 2.83-2.96, 2 Sc 3.16
2 Sc 0.0000 0.5000 0.0000  6 Sn 3.08-3.16, 2 Sc 3.40, 4 Mg 3.41
3 Sc 0.1519 0.5000 0.7610  7 Sn 3.06-3.33, 3 Sc 3.21-3.40, 2 Mg 3.31
4 Sc 0.1676 0.5000 0.5094  5 Sn 3.00-3.15, 2 Mg 3.16, 3 Sc 3.21
5 Sn 0.0000 0.0000 0.5000  8 Sc 3.10-3.33, 2 Mg 3.24, 2 Sn 3.40
6 Sn 0.1482 0.0000 0.9665  1 Mg 2.83, 4 Sc 3.06-3.08
7 Sn 0.1927 0.5000 0.2698  2 Mg 2.96, 6 Sc 3.00-3.16

total energy: -59.20 eV per formula unit

---

(11)
First-principles (PBE) data for an optimized crystal structure of MgSc3Sn, as listed in Alexandria via LeMat-Bulk.

Unit cell a=4.6551 b=6.1847 c=8.9869 alpha=90.00 beta=90.00 gamma=90.00
With the nearest neighbours (Å) after each atom.
Space group Pmmn (No. 59, origin choice 2)
Symmetry-distinct sites (fractional):
1 Mg 0.2500 0.2500 0.0705  7 Sc 3.14-3.23
2 Sc 0.2500 0.0021 0.7545  2 Sn 3.05, 5 Sc 3.07-3.37, 3 Mg 3.21-3.23
3 Sc 0.2500 0.2500 0.4203  4 Sn 2.93-3.11, 1 Mg 3.14, 4 Sc 3.21
4 Sn 0.2500 0.7500 0.3823  8 Sc 2.93-3.11

relative energy among the computed polymorphs: 0 meV/atom

---

(12)
First-principles (PBE) data for an optimized crystal structure of Mg2ScSn2, as listed in Alexandria via LeMat-Bulk.

Unit cell a=8.3199 b=8.3199 c=3.3968 alpha=90.00 beta=90.00 gamma=90.00
With the nearest neighbours (Å) after each atom.
Space group P4/mbm (No. 127)
Symmetry-distinct sites (fractional):
1 Mg 0.1230 0.3770 0.0000  1 Mg 2.89, 6 Sn 2.90-3.05
2 Sc 0.0000 0.0000 0.0000  4 Mg 3.30, 2 Sc 3.40, 8 Sn 3.50
3 Sn 0.1772 0.6772 0.5000  6 Mg 2.90-3.05

relative energy among the computed polymorphs: 160 meV/atom

---

(13)
First-principles (PBE) data for an optimized crystal structure of MgScSn, as listed in Alexandria via LeMat-Bulk.

Unit cell a=4.4469 b=10.2910 c=6.0608 alpha=90.00 beta=90.00 gamma=90.00
With the nearest neighbours (Å) after each atom.
Space group Cmcm (No. 63)
Symmetry-distinct sites (fractional):
1 Mg 0.0000 0.0000 0.0000  4 Sn 2.96, 2 Mg 3.03
2 Sc 0.0000 0.3065 0.2500  5 Sn 2.94-3.23
3 Sn 0.0000 0.3800 0.7500  5 Sc 2.94-3.23, 4 Mg 2.96

total energy: -13.10 eV per formula unit

---

(14)
First-principles (PBE) data for an optimized crystal structure of MgScSn, as listed in Alexandria via LeMat-Bulk.

Unit cell a=3.3057 b=3.3057 c=12.8675 alpha=90.00 beta=90.00 gamma=90.00
With the nearest neighbours (Å) after each atom.
Space group I4mm (No. 107)
Symmetry-distinct sites (fractional):
1 Mg 0.0000 0.0000 0.0000  4 Sn 3.14, 4 Sc 3.24, 4 Mg 3.31
2 Sc 0.0000 0.0000 0.6744  4 Sn 3.14, 4 Mg 3.24, 4 Sc 3.31
3 Sn 0.0000 0.0000 0.3373  4 Mg 3.14, 4 Sc 3.14, 4 Sn 3.31

total energy: -12.62 eV per formula unit

---

(15)
First-principles (PBE) data for an optimized crystal structure of Mg3Sc4Sn, as listed in Alexandria via LeMat-Bulk.

Unit cell a=5.0342 b=5.0342 c=24.7351 alpha=90.00 beta=90.00 gamma=120.00
With the nearest neighbours (Å) after each atom.
Space group R-3m (No. 166, hexagonal axes)
Symmetry-distinct sites (fractional):
1 Mg 0.0000 0.0000 0.0000  8 Sc 3.09
2 Mg 0.0000 0.0000 0.2539  8 Sc 3.01-3.19
3 Sc 0.0000 0.0000 0.1250  3 Sn 3.08, 5 Mg 3.09-3.19
4 Sc 0.0000 0.0000 0.3755  7 Mg 3.01-3.09, 1 Sn 3.08
5 Sn 0.0000 0.0000 0.5000  8 Sc 3.08

total energy: -35.98 eV per formula unit

---

(16)
First-principles (PBE) data for an optimized crystal structure of Mg2ScSn2, as listed in Alexandria via LeMat-Bulk.

Unit cell a=8.2259 b=8.2259 c=3.5517 alpha=90.00 beta=90.00 gamma=90.00
With the nearest neighbours (Å) after each atom.
Space group P4/mbm (No. 127)
Symmetry-distinct sites (fractional):
1 Mg 0.1393 0.3607 0.0000  6 Sn 2.93-3.04, 1 Mg 3.24
2 Sc 0.0000 0.0000 0.5000  4 Sn 3.09
3 Sn 0.1602 0.6602 0.5000  6 Mg 2.93-3.04, 2 Sc 3.09

relative energy among the computed polymorphs: 120 meV/atom

---

(17)
First-principles (PBE) data for an optimized crystal structure of TbMgScSn, as listed in Alexandria via LeMat-Bulk.

Unit cell a=7.2995 b=7.2995 c=7.2995 alpha=90.00 beta=90.00 gamma=90.00
With the nearest neighbours (Å) after each atom.
Space group F-43m (No. 216)
Symmetry-distinct sites (fractional):
1 Tb 0.0000 0.0000 0.0000  4 Sn 3.16, 4 Mg 3.16
2 Mg 0.2500 0.2500 0.2500  4 Tb 3.16, 4 Sc 3.16
3 Sc 0.0000 0.0000 0.5000  4 Mg 3.16, 4 Sn 3.16
4 Sn 0.2500 0.2500 0.7500  4 Sc 3.16, 4 Tb 3.16

total energy: -18.06 eV per formula unit

---

(18)
First-principles (PBE) data for an optimized crystal structure of TmMgScSn, as listed in Alexandria via LeMat-Bulk.

Unit cell a=7.2397 b=7.2397 c=7.2397 alpha=90.00 beta=90.00 gamma=90.00
With the nearest neighbours (Å) after each atom.
Space group F-43m (No. 216)
Symmetry-distinct sites (fractional):
1 Tm 0.0000 0.0000 0.0000  4 Sn 3.13, 4 Mg 3.13
2 Mg 0.2500 0.2500 0.7500  4 Tm 3.13, 4 Sc 3.13
3 Sc 0.0000 0.0000 0.5000  4 Mg 3.13, 4 Sn 3.13
4 Sn 0.2500 0.2500 0.2500  4 Tm 3.13, 4 Sc 3.13

total energy: -17.80 eV per formula unit

---

(19)
First-principles (PBE) data for an optimized crystal structure of YMgScSn2, as listed in Alexandria via LeMat-Bulk.

Unit cell a=5.2736 b=5.2736 c=5.1593 alpha=90.00 beta=90.00 gamma=90.00
With the nearest neighbours (Å) after each atom.
Space group P4/mmm (No. 123)
Symmetry-distinct sites (fractional):
1 Y 0.0000 0.0000 0.0000  8 Sn 3.69, 4 Sc 3.73
2 Mg 0.5000 0.5000 0.5000  2 Sc 2.58, 4 Sn 2.64
3 Sc 0.5000 0.5000 0.0000  2 Mg 2.58
4 Sn 0.0000 0.5000 0.5000  2 Mg 2.64

total energy: -20.76 eV per formula unit

---

(20)
First-principles (PBE) data for an optimized crystal structure of MgZrScSn, as listed in Alexandria via LeMat-Bulk.

Unit cell a=7.0487 b=7.0487 c=7.0487 alpha=90.00 beta=90.00 gamma=90.00
With the nearest neighbours (Å) after each atom.
Space group F-43m (No. 216)
Symmetry-distinct sites (fractional):
1 Mg 0.0000 0.0000 0.0000  4 Zr 3.05, 4 Sc 3.05
2 Zr 0.2500 0.2500 0.2500  4 Sn 3.05, 4 Mg 3.05
3 Sc 0.2500 0.2500 0.7500  4 Sn 3.05, 4 Mg 3.05
4 Sn 0.0000 0.0000 0.5000  4 Zr 3.05, 4 Sc 3.05

total energy: -21.45 eV per formula unit

---

(21)
First-principles (PBE) data for an optimized crystal structure of SrMgSc2, as listed in Alexandria via LeMat-Bulk.

Unit cell a=3.4028 b=5.4937 c=6.4098 alpha=90.00 beta=99.92 gamma=90.00
With the nearest neighbours (Å) after each atom.
Space group P2/m (No. 10)
Symmetry-distinct sites (fractional):
1 Sr 0.0000 0.0000 0.0000  2 Mg 3.36, 2 Sr 3.40, 4 Sc 3.55
2 Mg 0.5000 0.0000 0.5000  4 Sc 3.19, 2 Sr 3.36, 2 Mg 3.40
3 Sc 0.3030 0.5000 0.7146  4 Sc 3.14-3.40, 2 Mg 3.19

total energy: -14.96 eV per formula unit

---

(22)
First-principles (PBE) data for an optimized crystal structure of SrMg2Sc2, as listed in Alexandria via LeMat-Bulk.

Unit cell a=9.1111 b=9.1111 c=3.4588 alpha=90.00 beta=90.00 gamma=90.00
With the nearest neighbours (Å) after each atom.
Space group P4/mbm (No. 127)
Symmetry-distinct sites (fractional):
1 Sr 0.0000 0.0000 0.0000  2 Sr 3.46, 4 Mg 3.58, 8 Sc 3.82
2 Mg 0.1280 0.3720 0.0000  6 Sc 3.19, 3 Mg 3.30-3.46
3 Sc 0.1639 0.6639 0.5000  6 Mg 3.19, 2 Sc 3.46

total energy: -16.75 eV per formula unit

---

(23)
First-principles (PBE) data for an optimized crystal structure of SrMg2Sc, as listed in Alexandria via LeMat-Bulk.

Unit cell a=8.7138 b=8.7138 c=6.7150 alpha=90.00 beta=90.00 gamma=90.00
With the nearest neighbours (Å) after each atom.
Space group I-42d (No. 122)
Symmetry-distinct sites (fractional):
1 Sr 0.0000 0.0000 0.0000  2 Sc 3.36, 4 Mg 3.38
2 Mg 0.2197 0.2500 0.6250  2 Sc 3.02, 2 Sr 3.38
3 Sc 0.0000 0.0000 0.5000  4 Mg 3.02, 2 Sr 3.36

relative energy among the computed polymorphs: 394 meV/atom

---

The calculation returns the following total magnetization values, one per record and in order: 0.0 0.0 0.0 0.0 0.0 0.0 0.0 0.0 0.0 0.0 0.0 0.2 0.0 0.5 0.0 0.0 0.0 0.0 0.0 0.0 1.4 1.7 0.0 μB/f.u..